Record 1
A relaxed structure of NdSm3Rh. Source: the Alexandria database, functional PBE.

extended XYZ file:
```
5
Lattice="-0.5169 5.4077 1.0796 -3.8237 0.4299 -3.9837 -3.9734 -1.1171 3.6933" Properties=species:S:1:pos:R:3 pbc="T T T"
Rh 0.0000 0.0000 0.0000
Nd -4.1570 2.3602 0.3946
Sm -1.9119 0.2149 -1.9919
Sm -1.9867 -0.5586 1.8466
Sm -0.2584 2.7038 0.5398
```

Results
- Calculated formation energy: -0.174 eV per atom
- Raw total energy: -5.43 eV per atom

=====

Record 2
A relaxed structure of IrCF2. Source: the Alexandria database, functional PBE.

extended XYZ file:
```
4
Lattice="3.2934 0.5817 2.1033 -0.0694 -0.4000 3.9299 1.8209 -3.0629 1.7063" Properties=species:S:1:pos:R:3 pbc="T T T"
C 0.0000 0.0000 0.0000
Ir 2.5225 -1.4406 3.8697
F 1.2612 -0.7203 1.9349
F 3.7837 -2.1609 5.8046
```

Results
- E_form (uncorrected): 1482 meV per atom
- Raw total energy: -3.98 eV per atom

=====

Record 3
A relaxed structure of CsNbAgI6. Source: the Alexandria database, functional PBE.

extended XYZ file:
```
18
Lattice="-4.3481 5.5637 -3.1491 -3.3341 -5.7083 4.0095 1.4301 9.2209 14.3167" Properties=species:S:1:pos:R:3 pbc="T T T"
Cs 0.0000 0.0000 0.0000
Cs 0.7150 4.6104 7.1583
Nb -3.6526 4.1116 2.8163
Nb -2.5995 4.9647 12.3609
Ag -3.3146 0.3543 5.2025
Ag -2.9375 8.7220 9.9746
I -4.6188 1.4641 2.6719
I -5.2275 4.8064 0.5801
I -3.8868 2.4618 12.1554
I -1.0246 4.2699 14.5971
I -2.3716 3.2606 5.1825
I -5.8114 5.0987 4.3422
I -4.7314 5.6511 14.0778
I -2.3653 6.6145 3.0217
I -0.4406 3.9776 10.8349
I -1.5207 3.4252 1.0994
I -3.8805 5.8157 9.9947
I -1.6333 7.6122 12.5052
```

Results
- E_form (uncorrected): -602 meV per atom
- Raw total energy: -3.17 eV per atom

=====

Number 1: total magnetic moment 0.2742 μB per atom. Number 2: total magnetic moment 0.3232 μB per atom. Number 3: total magnetic moment 0.1112 μB per atom.